# 1
! Ba2PtClO4 | Alexandria | PBE-GGA | relaxed; values from VASP
&SYSTEM
  ibrav = 0, nat = 8, ntyp = 4
/
ATOMIC_SPECIES
Ba 137.33 Ba.upf
Pt 195.08 Pt.upf
Cl 35.45 Cl.upf
O 16.00 O.upf
CELL_PARAMETERS angstrom
4.685 -1.741 0.000
4.685 1.741 0.000
-3.823 0.000 9.740
ATOMIC_POSITIONS crystal
Ba 0.158 0.158 0.263
Ba 0.842 0.842 0.737
Pt 0.000 0.000 0.500
Cl 0.500 0.500 0.000
O 0.121 0.121 0.699
O 0.384 0.384 0.528
O 0.616 0.616 0.472
O 0.879 0.879 0.301
! Size of the total moment (μB/cell): 1.02
! Mass density (Mg/m³): 5.950
! Space group: C2/m (12)
! Crystal system: monoclinic
! Energy relative to the elements, uncorrected (eV per formula unit): -12.859

# 2
! Rb3TeAu2I9 | Alexandria | PBE-GGA | relaxed; values from VASP
&SYSTEM
  ibrav = 0, nat = 15, ntyp = 4
/
ATOMIC_SPECIES
Rb 85.47 Rb.upf
Te 127.60 Te.upf
Au 196.97 Au.upf
I 126.90 I.upf
CELL_PARAMETERS angstrom
8.394 0.000 0.000
-4.197 7.269 0.000
0.000 0.000 10.286
ATOMIC_POSITIONS crystal
Rb 0.000 0.000 0.000
Rb 0.333 0.667 0.693
Rb 0.667 0.333 0.307
Te 0.000 0.000 0.500
Au 0.333 0.667 0.159
Au 0.667 0.333 0.841
I 0.000 0.500 0.000
I 0.171 0.341 0.326
I 0.171 0.829 0.326
I 0.341 0.171 0.674
I 0.500 0.000 0.000
I 0.500 0.500 0.000
I 0.659 0.829 0.326
I 0.829 0.171 0.674
I 0.829 0.659 0.674
! Size of the total moment (μB/cell): 0.00
! Mass density (Mg/m³): 5.080
! Space group: P-3m1 (164)
! Crystal system: trigonal
! Energy relative to the elements, uncorrected (eV per formula unit): -9.477